Entry 1
{"formula": "Mg2FeMo", "functional": "GGA-PBE", "state": "relaxed", "dos_at_fermi_per_ev_cell": 4.6, "sg": "No. 71", "volume_a3_per_atom": 15.356, "lattice_angstrom": [[3.038, 0.000, 0.000], [0.000, 4.352, 0.000], [0.000, 0.000, 9.292]], "species": ["Mg", "Mg", "Mg", "Mg", "Fe", "Fe", "Mo", "Mo"], "frac_coords": [[0.000, 0.000, 0.228], [0.000, 0.000, 0.772], [0.500, 0.500, 0.272], [0.500, 0.500, 0.728], [0.000, 0.500, 0.500], [0.500, 0.000, 0.000], [0.000, 0.500, 0.000], [0.500, 0.000, 0.500]]}

Entry 2
{"formula": "Mg2FeMo", "functional": "GGA-PBE", "state": "relaxed", "dos_at_fermi_per_ev_cell": 4.5, "sg": "No. 8", "volume_a3_per_atom": 16.366, "lattice_angstrom": [[8.913, 0.000, 0.000], [0.000, 2.844, 0.000], [-0.844, 0.000, 5.166]], "species": ["Mg", "Mg", "Mg", "Mg", "Fe", "Fe", "Mo", "Mo"], "frac_coords": [[0.000, 0.000, 0.000], [0.236, 0.000, 0.745], [0.500, 0.500, 0.000], [0.736, 0.500, 0.745], [0.245, 0.500, 0.291], [0.745, 0.000, 0.291], [0.476, 0.000, 0.462], [0.976, 0.500, 0.462]]}

Entry 3
{"formula": "Mg2FeMo", "functional": "GGA-PBE", "state": "relaxed", "dos_at_fermi_per_ev_cell": 5.9, "sg": "No. 44", "volume_a3_per_atom": 16.456, "lattice_angstrom": [[3.149, 0.000, 0.000], [0.000, 4.699, 0.000], [0.000, 0.000, 8.896]], "species": ["Mg", "Mg", "Mg", "Mg", "Fe", "Fe", "Mo", "Mo"], "frac_coords": [[0.000, 0.000, 0.000], [0.000, 0.500, 0.220], [0.500, 0.000, 0.720], [0.500, 0.500, 0.500], [0.000, 0.000, 0.471], [0.500, 0.500, 0.971], [0.000, 0.500, 0.782], [0.500, 0.000, 0.282]]}

Which of them is least stable? Easy: entry 1.